No. 1
This record from Alexandria describes crystalline Ho3Zn2Ni9Ge at its relaxed geometry. The functional is PBE-GGA.

Lattice parameters (Å, degrees): 5.9663 5.9663 8.4447 90.00 90.00 120.00
Fractional coordinates of all 15 atoms:
Ho 0.0000 0.0000 0.0000
Ho 0.3333 0.6667 0.7171
Ho 0.6667 0.3333 0.2829
Zn 0.3333 0.6667 0.1870
Zn 0.6667 0.3333 0.8130
Ni 0.0000 0.5000 0.0000
Ni 0.1330 0.2661 0.2807
Ni 0.1330 0.8670 0.2807
Ni 0.2661 0.1330 0.7193
Ni 0.5000 0.0000 0.0000
Ni 0.5000 0.5000 0.0000
Ni 0.7339 0.8670 0.2807
Ni 0.8670 0.1330 0.7193
Ni 0.8670 0.7339 0.7193
Ge 0.0000 0.0000 0.5000

Values from the calculation:
D(E_F): 9.96 states/eV per cell
size of the total moment: 0.00 μB/f.u.
formation energy: -0.048 eV/atom



No. 2
This record from Alexandria describes crystalline Ho2ZnNi4Ge3 at its relaxed geometry. The functional is PBE-GGA.

Lattice parameters (Å, degrees): 4.0374 4.0374 9.8076 90.00 90.00 90.00
Fractional coordinates of all 10 atoms:
Ho 0.0000 0.5000 0.2496
Ho 0.5000 0.0000 0.7504
Zn 0.0000 0.0000 0.5000
Ni 0.0000 0.0000 0.0000
Ni 0.0000 0.5000 0.6343
Ni 0.5000 0.0000 0.3657
Ni 0.5000 0.5000 0.0000
Ge 0.0000 0.5000 0.8698
Ge 0.5000 0.0000 0.1302
Ge 0.5000 0.5000 0.5000

Values from the calculation:
D(E_F): 6.86 states/eV per cell
size of the total moment: 0.00 μB/f.u.
formation energy: -0.635 eV/atom



No. 3
This record from Alexandria describes crystalline HoZn2Ni4Ge at its relaxed geometry. The functional is PBE-GGA.

Lattice parameters (Å, degrees): 8.2939 8.2939 8.2939 28.65 28.65 28.65
Fractional coordinates of all 8 atoms:
Ho 0.0000 0.0000 0.0000
Zn 0.2470 0.2470 0.2470
Zn 0.7530 0.7530 0.7530
Ni 0.1320 0.1320 0.1320
Ni 0.4032 0.4032 0.4032
Ni 0.5968 0.5968 0.5968
Ni 0.8680 0.8680 0.8680
Ge 0.5000 0.5000 0.5000

Values from the calculation:
D(E_F): 5.00 states/eV per cell
size of the total moment: 0.00 μB/f.u.
formation energy: -0.302 eV/atom



No. 4
This record from Alexandria describes crystalline HoZnNi4Ge2 at its relaxed geometry. The functional is PBE-GGA.

Lattice parameters (Å, degrees): 8.5002 8.5002 8.5002 27.48 27.48 27.48
Fractional coordinates of all 8 atoms:
Ho 0.0000 0.0000 0.0000
Zn 0.5000 0.5000 0.5000
Ni 0.1320 0.1320 0.1320
Ni 0.4043 0.4043 0.4043
Ni 0.5957 0.5957 0.5957
Ni 0.8680 0.8680 0.8680
Ge 0.2453 0.2453 0.2453
Ge 0.7547 0.7547 0.7547

Values from the calculation:
D(E_F): 4.57 states/eV per cell
size of the total moment: 0.00 μB/f.u.
formation energy: -0.401 eV/atom



No. 5
This record from Alexandria describes crystalline Ho2ZnNi3Ge4 at its relaxed geometry. The functional is PBE-GGA.

Lattice parameters (Å, degrees): 4.0509 4.0509 10.0602 90.00 90.00 90.00
Fractional coordinates of all 10 atoms:
Ho 0.0000 0.5000 0.2446
Ho 0.5000 0.0000 0.7554
Zn 0.0000 0.0000 0.5000
Ni 0.0000 0.5000 0.8756
Ni 0.5000 0.0000 0.1244
Ni 0.5000 0.5000 0.5000
Ge 0.0000 0.0000 0.0000
Ge 0.0000 0.5000 0.6447
Ge 0.5000 0.0000 0.3553
Ge 0.5000 0.5000 0.0000

Values from the calculation:
D(E_F): 4.61 states/eV per cell
size of the total moment: 0.00 μB/f.u.
formation energy: -0.626 eV/atom



No. 6
This record from Alexandria describes crystalline HoNpGe at its relaxed geometry. The functional is PBE-GGA.

Lattice parameters (Å, degrees): 7.9244 7.9244 7.9244 24.14 24.14 24.14
Fractional coordinates of all 3 atoms:
Ho 0.0000 0.0000 0.0000
Np 0.2053 0.2053 0.2053
Ge 0.4355 0.4355 0.4355

Values from the calculation:
D(E_F): 6.34 states/eV per cell
size of the total moment: 4.32 μB/f.u.
formation energy: 0.118 eV/atom



no.,volume (Å³/cell)
1,260.3
2,159.9
3,115.9
4,115.4
5,165.1
6,73.1